# ZnIn3F PBE relaxed
# calculated volume: 128 Å³ per cell
# polymorph energy (0 for the lowest one): 0.0000 eV per atom
# formation energy from raw total energies: -8.30 kcal/mol of atoms
# ρ: 5.566 g cm⁻³
data_ZnIn3F
_space_group_name_H-M_alt 'P m -3 m'
_space_group_IT_number 221
_space_group_name_Hall '-P 4 2 3'
_cell_length_a 5.0389
_cell_length_b 5.0389
_cell_length_c 5.0389
_cell_angle_alpha 90.00
_cell_angle_beta 90.00
_cell_angle_gamma 90.00
loop_
_atom_site_label
_atom_site_type_symbol
_atom_site_fract_x
_atom_site_fract_y
_atom_site_fract_z
Zn1 Zn 0.0000 0.0000 0.0000
In1 In 0.0000 0.5000 0.5000
F1 F 0.5000 0.5000 0.5000

=====

# Mn2TcRu2 PBE relaxed
# calculated volume: 133 Å³ per cell
# polymorph energy (0 for the lowest one): 0.0922 eV per atom
# ρ: 10.273 g cm⁻³
data_Mn2TcRu2
_space_group_name_H-M_alt 'P 4/m b m'
_space_group_IT_number 127
_space_group_name_Hall '-P 4 2ab'
_cell_length_a 7.0610
_cell_length_b 7.0610
_cell_length_c 2.6587
_cell_angle_alpha 90.00
_cell_angle_beta 90.00
_cell_angle_gamma 90.00
loop_
_atom_site_label
_atom_site_type_symbol
_atom_site_fract_x
_atom_site_fract_y
_atom_site_fract_z
Mn1 Mn 0.1686 0.3314 0.0000
Tc1 Tc 0.0000 0.0000 0.5000
Ru1 Ru 0.1284 0.6284 0.5000

=====

# Ta2CdIF PBE relaxed
# calculated volume: 102 Å³ per cell
# formation energy from raw total energies: 14.00 kcal/mol of atoms
# ρ: 10.107 g cm⁻³
data_Ta2CdIF
_space_group_name_H-M_alt 'P 4/m m m'
_space_group_IT_number 123
_space_group_name_Hall '-P 4 2'
_cell_length_a 4.3257
_cell_length_b 4.3257
_cell_length_c 5.4454
_cell_angle_alpha 90.00
_cell_angle_beta 90.00
_cell_angle_gamma 90.00
loop_
_atom_site_label
_atom_site_type_symbol
_atom_site_fract_x
_atom_site_fract_y
_atom_site_fract_z
Ta1 Ta 0.0000 0.5000 0.0000
Cd1 Cd 0.0000 0.0000 0.5000
I1 I 0.5000 0.5000 0.5000
F1 F 0.0000 0.0000 0.0000

=====

# PmSn5Se7 PBE relaxed
# calculated volume: 1454 Å³ per cell
# formation energy from raw total energies: -15.84 kcal/mol of atoms
# ρ: 5.899 g cm⁻³
data_PmSn5Se7
_space_group_name_H-M_alt 'C m c 21'
_space_group_IT_number 36
_cell_length_a 4.1617
_cell_length_b 14.1234
_cell_length_c 24.7378
_cell_angle_alpha 90.00
_cell_angle_beta 90.00
_cell_angle_gamma 90.00
loop_
_space_group_symop_operation_xyz
'x,y,z'
'-x,-y,z+1/2'
'-x,y,z'
'x,-y,z+1/2'
'x+1/2,y+1/2,z'
'-x+1/2,-y+1/2,z+1/2'
'-x+1/2,y+1/2,z'
'x+1/2,-y+1/2,z+1/2'
loop_
_atom_site_label
_atom_site_type_symbol
_atom_site_fract_x
_atom_site_fract_y
_atom_site_fract_z
Pm1 Pm 0.0000 0.2105 0.0000
Sn1 Sn 0.0000 0.0097 0.7576
Sn2 Sn 0.0000 0.2542 0.3378
Sn3 Sn 0.0000 0.2813 0.6847
Sn4 Sn 0.0000 0.4478 0.1109
Sn5 Sn 0.0000 0.4801 0.9119
Se1 Se 0.0000 0.0774 0.1544
Se2 Se 0.0000 0.1203 0.8839
Se3 Se 0.0000 0.1693 0.4403
Se4 Se 0.0000 0.2016 0.5784
Se5 Se 0.0000 0.3530 0.2220
Se6 Se 0.0000 0.3766 0.7978
Se7 Se 0.0000 0.4356 0.5138

=====

| no. | electronic total energy (eV per atom) |
| --- | --- |
| 1 | -2.6322 |
| 2 | -9.2118 |
| 3 | -5.0013 |
| 4 | -4.4680 |